(A)
First-principles (GGA-PBE) data for a geometry-optimized PrDy2Er2 structure, as listed in Alexandria via LeMat-Bulk.

abc: 9.3809 9.3809 3.7113
angles: 90.00 90.00 90.00
Fractional positions:
Er: 0.1713 0.3287 0.5000
Pr: 0.0000 0.0000 0.0000
Dy: 0.3750 0.1250 0.0000
Dy: 0.6250 0.8750 0.0000
Dy: 0.8750 0.3750 0.0000
Er: 0.6713 0.1713 0.5000
Pr: 0.5000 0.5000 0.0000
Er: 0.8287 0.6713 0.5000
Dy: 0.1250 0.6250 0.0000
Er: 0.3287 0.8287 0.5000

As for the volume: 32.66 Å³ per atom. The value obtained for the density of states at the Fermi level is 1.073 states/eV/atom.

(B)
First-principles (GGA-PBE) data for a geometry-optimized PrDy2Er2 structure, as listed in Alexandria via LeMat-Bulk.

abc: 3.5102 5.7179 8.6747
angles: 109.27 90.00 90.00
Fractional positions:
Er: 0.7000 0.2110 0.4225
Dy: 0.7000 0.5918 0.1835
Pr: 0.2000 0.0176 0.0351
Dy: 0.2000 0.3994 0.7987
Er: 0.2000 0.7800 0.5603

As for the volume: 32.87 Å³ per atom. The value obtained for the density of states at the Fermi level is 1.817 states/eV/atom.

Most stable: (A) (next structure +41 meV/atom)